Record 1
Computed, not measured: a relaxed YZnPd2 crystal at the PBE-GGA level of DFT.

As for the space-group type: Immm, No. 71. For the formation energy, the calculation gives -0.41 eV/f.u.

Cell: 5.963 5.963 5.963 Å, 150.26 131.36 58.06°
Atoms (fractional coordinates):
Y 0.000 0.000 0.000
Zn 0.500 0.500 0.000
Pd 0.266 0.266 0.000
Pd 0.734 0.734 0.000

***

Record 2
Computed, not measured: a relaxed Pm8DyEr3 crystal at the PBE-GGA level of DFT.

As for the space-group type: C2, No. 5. For the formation energy, the calculation gives 2.23 eV/f.u.

Cell: 6.738 6.738 10.205 Å, 90.08 90.08 61.82°
Atoms (fractional coordinates):
Pm 0.000 0.000 0.189
Pm 0.000 0.000 0.811
Pm 0.000 0.500 0.311
Pm 0.000 0.501 0.689
Pm 0.499 0.000 0.311
Pm 0.500 0.000 0.689
Pm 0.500 0.500 0.189
Pm 0.500 0.500 0.811
Dy 0.750 0.250 0.500
Er 0.249 0.252 0.000
Er 0.250 0.750 0.500
Er 0.748 0.751 0.000

***

Record 3
Computed, not measured: a relaxed Zr2GaCu2 crystal at the PBE-GGA level of DFT.

As for the space-group type: I4/mmm, No. 139. For the formation energy, the calculation gives 1.05 eV/f.u.

Cell: 6.125 6.125 6.125 Å, 138.90 138.90 59.53°
Atoms (fractional coordinates):
Zr 0.250 0.750 0.500
Zr 0.750 0.250 0.500
Ga 0.000 0.000 0.000
Cu 0.397 0.397 0.000
Cu 0.603 0.603 0.000

***

Record 4
Computed, not measured: a relaxed SmDySc2 crystal at the PBE-GGA level of DFT.

As for the space-group type: R3m, No. 160. For the formation energy, the calculation gives 0.27 eV/f.u.

Cell: 11.171 11.171 11.171 Å, 17.79 17.79 17.79°
Atoms (fractional coordinates):
Sm 0.000 0.000 0.000
Dy 0.834 0.834 0.834
Sc 0.250 0.250 0.250
Sc 0.418 0.418 0.418

***

Record 5
Computed, not measured: a relaxed InSi2P crystal at the PBE-GGA level of DFT.

As for the space-group type: R-3m, No. 166. The value obtained for the uncorrected formation energy is 238 meV per atom.

Cell: 7.225 7.225 7.225 Å, 28.35 28.35 28.35°
Atoms (fractional coordinates):
In 0.000 0.000 0.000
Si 0.233 0.233 0.233
Si 0.767 0.767 0.767
P 0.500 0.500 0.500

***

Record 6
Computed, not measured: a relaxed PuGaTcOs crystal at the PBE-GGA level of DFT.

As for the space-group type: F-43m, No. 216. For the formation energy, the calculation gives -0.27 eV/f.u.

Cell: 4.549 4.549 4.549 Å, 60.00 60.00 60.00°
Atoms (fractional coordinates):
Pu 0.000 0.000 0.000
Ga 0.500 0.500 0.500
Tc 0.750 0.750 0.750
Os 0.250 0.250 0.250